Material: Tb3Nd4Dy3
Method: DFT, PBE
State: relaxed

Calculated values
Calculated formation energy, eV per atom: 0.106
Fermi-level density of states, states/eV/f.u.: 8.949
VASP energy, eV/atom: -4.571

abc: 3.827 13.217 13.228
angles: 90.00 90.00 90.00
Space group Amm2 (No. 38)
Inequivalent atoms, fractional coordinates:
Tb (0.000, 0.000, 0.000)
Tb (0.000, 0.168, 0.668)
Nd (0.500, 0.000, 0.537)
Nd (0.500, 0.000, 0.800)
Nd (0.500, 0.131, 0.168)
Dy (0.000, 0.000, 0.337)
Dy (0.500, 0.250, 0.418)

---

Material: LaVCd
Method: DFT, PBE
State: relaxed

Calculated values
Calculated formation energy, eV per atom: 0.156
ΔE to the lowest computed polymorph, meV per atom: 1.3
Fermi-level density of states, states/eV/f.u.: 2.914
VASP energy, eV/atom: -4.831

abc: 5.069 7.229 8.218
angles: 90.00 90.00 90.00
Space group Imm2 (No. 44)
Inequivalent atoms, fractional coordinates:
La (0.000, 0.000, 0.000)
La (0.000, 0.500, 0.109)
V (0.000, 0.368, 0.735)
Cd (0.000, 0.202, 0.401)

---

Material: Pm4Nd2TmMg
Method: DFT, PBE
State: relaxed

Calculated values
Calculated formation energy, eV per atom: 0.012
Fermi-level density of states, states/eV/f.u.: 11.779
VASP energy, eV/atom: -4.314

abc: 5.058 5.058 10.185
angles: 90.00 90.00 90.00
Space group P4/mmm (No. 123)
Inequivalent atoms, fractional coordinates:
Pm (0.000, 0.500, 0.249)
Nd (0.000, 0.000, 0.000)
Nd (0.500, 0.500, 0.500)
Tm (0.000, 0.000, 0.500)
Mg (0.500, 0.500, 0.000)

---

Material: Te2MoRu
Method: DFT, PBE
State: relaxed

Calculated values
ΔE to the lowest computed polymorph, meV per atom: 281.3
Fermi-level density of states, states/eV/f.u.: 4.035
VASP energy, eV/atom: -6.279

abc: 3.336 3.336 6.603
angles: 90.00 90.00 90.00
Space group P4/mmm (No. 123)
Inequivalent atoms, fractional coordinates:
Te (0.000, 0.000, 0.247)
Mo (0.500, 0.500, 0.000)
Ru (0.500, 0.500, 0.500)

---

Material: SrTcI6
Method: DFT, PBE
State: relaxed

Calculated values
VASP energy, eV/atom: -3.268

abc: 7.594 13.176 7.468
angles: 90.00 106.99 90.00
Space group C2/m (No. 12)
Inequivalent atoms, fractional coordinates:
Sr (0.000, 0.000, 0.000)
Tc (0.000, 0.500, 0.500)
I (0.198, 0.348, 0.728)
I (0.249, 0.500, 0.301)

---

Material: HRhI3
Method: DFT, PBE
State: relaxed

Calculated values
ΔE to the lowest computed polymorph, meV per atom: 0.0
Fermi-level density of states, states/eV/f.u.: 6.949
VASP energy, eV/atom: -2.482

abc: 5.451 5.451 5.451
angles: 90.00 90.00 90.00
Space group Pm-3m (No. 221)
Inequivalent atoms, fractional coordinates:
H (0.000, 0.000, 0.000)
Rh (0.500, 0.500, 0.500)
I (0.000, 0.500, 0.500)

---

Material: Sr2TlCd16
Method: DFT, PBE
State: relaxed

Calculated values
Calculated formation energy, eV per atom: -0.157
Fermi-level density of states, states/eV/f.u.: 6.703
VASP energy, eV/atom: -1.229

abc: 10.4027 10.4027 15.0056
angles: 90.00 90.00 120.00
Space group R3m (No. 160, hexagonal axes)
Inequivalent atoms, fractional coordinates:
Sr (0.0000, 0.0000, 0.0000)
Sr (0.0000, 0.0000, 0.3260)
Tl (0.0000, 0.0000, 0.5606)
Cd (0.0000, 0.0000, 0.7639)
Cd (0.0167, 0.5084, 0.8138)
Cd (0.0312, 0.3633, 0.3300)
Cd (0.1720, 0.3439, 0.4976)
Cd (0.1732, 0.3465, 0.8454)

---

Material: LiSm3Pt3
Method: DFT, PBE
State: relaxed

Calculated values
Calculated formation energy, eV per atom: -0.997
Fermi-level density of states, states/eV/f.u.: 4.272
VASP energy, eV/atom: -5.882

abc: 11.076 4.106 14.583
angles: 90.00 110.09 90.00
Space group C2/m (No. 12)
Inequivalent atoms, fractional coordinates:
Li (0.233, 0.000, 0.411)
Sm (0.027, 0.500, 0.386)
Sm (0.105, 0.500, 0.923)
Sm (0.237, 0.500, 0.228)
Pt (0.021, 0.000, 0.236)
Pt (0.125, 0.000, 0.078)
Pt (0.133, 0.000, 0.555)

---

Material: CsAuS3
Method: DFT, PBE
State: relaxed

Calculated values
Fermi-level density of states, states/eV/f.u.: 6.381
VASP energy, eV/atom: -3.190

abc: 5.053 5.053 5.053
angles: 90.00 90.00 90.00
Space group Pm-3m (No. 221)
Inequivalent atoms, fractional coordinates:
Cs (0.000, 0.000, 0.000)
Au (0.500, 0.500, 0.500)
S (0.000, 0.500, 0.500)

---

Material: TbDy4
Method: DFT, PBE
State: relaxed

Calculated values
Calculated formation energy, eV per atom: 0.708
ΔE to the lowest computed polymorph, meV per atom: 690.8
Fermi-level density of states, states/eV/f.u.: 7.406
VASP energy, eV/atom: -3.900

abc: 5.613 5.613 5.613
angles: 90.00 90.00 90.00
Space group Pm-3m (No. 221)
Inequivalent atoms, fractional coordinates:
Tb (0.000, 0.000, 0.000)
Dy (0.000, 0.000, 0.500)
Dy (0.500, 0.500, 0.500)

---

Material: NbSeO2F
Method: DFT, PBE
State: relaxed

Calculated values
Fermi-level density of states, states/eV/f.u.: 3.624
VASP energy, eV/atom: -5.065

abc: 3.866 3.866 4.924
angles: 90.00 90.00 90.00
Space group P4/mmm (No. 123)
Inequivalent atoms, fractional coordinates:
Nb (0.000, 0.000, 0.000)
Se (0.500, 0.500, 0.500)
O (0.000, 0.500, 0.500)
F (0.500, 0.500, 0.000)

---

Material: Nd3P2PtRh9
Method: DFT, PBE
State: relaxed

Calculated values
Calculated formation energy, eV per atom: -0.533
Fermi-level density of states, states/eV/f.u.: 12.320
VASP energy, eV/atom: -7.022

abc: 5.9426 5.9426 9.3895
angles: 90.00 90.00 120.00
Space group P-3m1 (No. 164)
Inequivalent atoms, fractional coordinates:
Nd (0.0000, 0.0000, 0.0000)
Nd (0.3333, 0.6667, 0.6205)
P (0.3333, 0.6667, 0.1580)
Pt (0.0000, 0.0000, 0.5000)
Rh (0.0000, 0.5000, 0.0000)
Rh (0.1521, 0.3042, 0.2783)

---

Material: ScGa2OsSe
Method: DFT, PBE
State: relaxed

Calculated values
Fermi-level density of states, states/eV/f.u.: 4.537
VASP energy, eV/atom: -5.166

abc: 4.646 4.646 5.370
angles: 90.00 90.00 90.00
Space group P4/mmm (No. 123)
Inequivalent atoms, fractional coordinates:
Sc (0.000, 0.000, 0.000)
Ga (0.000, 0.500, 0.500)
Os (0.500, 0.500, 0.500)
Se (0.500, 0.500, 0.000)

---

Material: PuIn2Bi
Method: DFT, PBE
State: relaxed

Calculated values
Calculated formation energy, eV per atom: -0.015
ΔE to the lowest computed polymorph, meV per atom: 250.1
Fermi-level density of states, states/eV/f.u.: 14.947
VASP energy, eV/atom: -5.937

abc: 7.713 7.713 7.713
angles: 90.00 90.00 90.00
Space group Fm-3m (No. 225)
Inequivalent atoms, fractional coordinates:
Pu (0.000, 0.000, 0.000)
In (0.250, 0.250, 0.250)
Bi (0.000, 0.000, 0.500)

---

Material: SmEr3Zn4
Method: DFT, PBE
State: relaxed

Calculated values
Calculated formation energy, eV per atom: -0.337
Fermi-level density of states, states/eV/f.u.: 8.925
VASP energy, eV/atom: -3.275

abc: 5.022 5.022 7.179
angles: 90.00 90.00 90.00
Space group P4/mmm (No. 123)
Inequivalent atoms, fractional coordinates:
Sm (0.000, 0.000, 0.000)
Er (0.000, 0.000, 0.500)
Er (0.500, 0.500, 0.000)
Er (0.500, 0.500, 0.500)
Zn (0.000, 0.500, 0.258)

---

Material: Sr2LiH
Method: DFT, PBE
State: relaxed

Calculated values
ΔE to the lowest computed polymorph, meV per atom: 60.2
Fermi-level density of states, states/eV/f.u.: 3.273
VASP energy, eV/atom: -2.250

abc: 7.470 7.470 9.278
angles: 90.00 90.00 90.00
Space group I-42d (No. 122)
Inequivalent atoms, fractional coordinates:
Sr (0.147, 0.250, 0.125)
Li (0.000, 0.000, 0.500)
H (0.000, 0.000, 0.000)

---

Material: LiUNb2N4
Method: DFT, PBE
State: relaxed

Calculated values
Fermi-level density of states, states/eV/f.u.: 3.228
VASP energy, eV/atom: -9.502

abc: 5.372 3.218 5.555
angles: 90.00 108.03 90.00
Space group P2/m (No. 10)
Inequivalent atoms, fractional coordinates:
Li (0.000, 0.000, 0.000)
U (0.500, 0.500, 0.000)
Nb (0.000, 0.500, 0.500)
Nb (0.500, 0.000, 0.500)
N (0.235, 0.000, 0.746)
N (0.261, 0.500, 0.264)

---

Material: Ce8NiOs2
Method: DFT, PBE
State: relaxed

Calculated values
Calculated formation energy, eV per atom: -0.089
ΔE to the lowest computed polymorph, meV per atom: 45.8
Fermi-level density of states, states/eV/f.u.: 27.682
VASP energy, eV/atom: -6.972

abc: 7.512 14.481 5.836
angles: 90.00 124.22 90.00
Space group Cm (No. 8)
Inequivalent atoms, fractional coordinates:
Ce (0.000, 0.000, 0.000)
Ce (0.037, 0.379, 0.326)
Ce (0.054, 0.134, 0.612)
Ce (0.219, 0.305, 0.919)
Ce (0.372, 0.000, 0.682)
Ni (0.271, 0.500, 0.226)
Os (0.220, 0.192, 0.318)

---

Material: Dy2Pd3Pt3
Method: DFT, PBE
State: relaxed

Calculated values
Calculated formation energy, eV per atom: -0.961
Fermi-level density of states, states/eV/f.u.: 9.873
VASP energy, eV/atom: -6.324

abc: 4.094 4.113 8.300
angles: 90.00 90.00 90.00
Space group Pmmm (No. 47)
Inequivalent atoms, fractional coordinates:
Dy (0.000, 0.000, 0.250)
Pd (0.500, 0.000, 0.000)
Pd (0.500, 0.500, 0.250)
Pt (0.000, 0.500, 0.000)
Pt (0.000, 0.500, 0.500)
Pt (0.500, 0.000, 0.500)

---

Material: NaEuAl4
Method: DFT, PBE
State: relaxed

Calculated values
Calculated formation energy, eV per atom: -0.176
Fermi-level density of states, states/eV/f.u.: 5.336
VASP energy, eV/atom: -4.603

abc: 8.035 8.035 8.035
angles: 90.00 90.00 90.00
Space group F-43m (No. 216)
Inequivalent atoms, fractional coordinates:
Na (0.000, 0.000, 0.000)
Eu (0.250, 0.250, 0.750)
Al (0.125, 0.125, 0.375)